(1)
Mg7GaAg5: optimized geometry, PBE.

```
Mg7GaAg5
1.0
-4.725 -0.599 -2.903
-5.796 -1.428 4.371
-3.579 6.418 -0.857
Mg Ga Ag
7 1 5
direct
0.593 0.407 0.407 Mg
0.214 0.786 0.786 Mg
0.020 0.295 0.665 Mg
0.020 0.665 0.295 Mg
0.269 0.231 0.231 Mg
0.537 0.799 0.127 Mg
0.537 0.127 0.799 Mg
0.915 0.085 0.085 Ga
0.527 0.985 0.463 Ag
0.025 0.985 0.463 Ag
0.527 0.463 0.985 Ag
0.025 0.463 0.985 Ag
0.792 0.708 0.708 Ag
```

Computed properties:
ΔH_f (0 K), eV per atom: -0.121
Calculated volume, Å³/f.u.: 261.9
Size of the total moment, μB/atom: 0.00

***

(2)
HfAgSn: optimized geometry, PBE.

```
HfAgSn
1.0
3.065 0.000 0.000
0.000 3.065 0.000
-1.532 -1.532 14.050
Ag Sn Hf
2 2 2
direct
0.286 0.286 0.572 Ag
0.714 0.714 0.428 Ag
0.133 0.133 0.266 Sn
0.867 0.867 0.734 Sn
0.553 0.553 0.107 Hf
0.447 0.447 0.893 Hf
```

Computed properties:
ΔH_f (0 K), eV per atom: 0.162
Calculated volume, Å³/f.u.: 66.0
Size of the total moment, μB/atom: 0.00

***

(3)
InAg2Au6: optimized geometry, PBE.

```
InAg2Au6
1.0
4.304 0.000 0.000
0.000 8.769 0.000
0.001 0.000 8.766
In Ag Au
2 4 12
direct
0.500 0.500 0.000 In
0.000 0.000 0.500 In
0.000 0.327 0.826 Ag
0.500 0.827 0.674 Ag
0.500 0.173 0.326 Ag
0.000 0.673 0.174 Ag
0.000 0.004 0.167 Au
0.000 0.667 0.504 Au
0.000 0.662 0.838 Au
0.500 0.162 0.662 Au
0.500 0.167 0.996 Au
0.500 0.504 0.333 Au
0.000 0.996 0.833 Au
0.000 0.333 0.496 Au
0.000 0.338 0.162 Au
0.500 0.838 0.338 Au
0.500 0.833 0.004 Au
0.500 0.496 0.667 Au
```

Computed properties:
ΔH_f (0 K), eV per atom: -0.063
Distance to the lowest polymorph of the same formula, eV per atom: 0.004
Calculated volume, Å³/f.u.: 165.4
Size of the total moment, μB/atom: 0.00

***

(4)
LiTl2VIr: optimized geometry, PBE.

```
LiTl2VIr
1.0
-3.877 -3.196 -1.712
3.236 -4.181 0.478
-1.385 -0.588 4.235
Tl Ir Li V
2 1 1 1
direct
0.000 0.500 0.000 Tl
0.500 0.000 0.000 Tl
0.000 0.000 0.500 Ir
0.500 0.500 0.500 Li
0.000 0.000 0.000 V
```

Computed properties:
ΔH_f (0 K), eV per atom: 0.594
Calculated volume, Å³/f.u.: 126.6
Size of the total moment, μB/atom: 0.00